Below is AcScIn after structural relaxation, with properties calculated at the PBE level. Values from VASP.

Cell and atoms, written as Quantum ESPRESSO input:
```
&SYSTEM
  ibrav = 0, nat = 3, ntyp = 3
/
ATOMIC_SPECIES
Sc 44.96 Sc.upf
Ac 227.00 Ac.upf
In 114.82 In.upf
CELL_PARAMETERS angstrom
4.0881 0.0000 0.0000
0.0000 4.0881 0.0000
0.0000 0.0000 6.3288
ATOMIC_POSITIONS angstrom
Sc 2.0440 2.0440 0.0000
Ac 2.0440 2.0440 3.1644
In 0.0000 0.0000 0.0000
```

Values from the calculation:
VASP energy (Ry/atom): -0.300
Symmetry: P4/mmm, No. 123
Formation enthalpy at 0 K (eV per atom): 0.3109

---

Below is Pm2SmEr3As6 after structural relaxation, with properties calculated at the PBE level. Values from VASP.

Cell and atoms, written as Quantum ESPRESSO input:
```
&SYSTEM
  ibrav = 0, nat = 12, ntyp = 4
/
ATOMIC_SPECIES
As 74.92 As.upf
Sm 150.36 Sm.upf
Er 167.26 Er.upf
Pm 145.00 Pm.upf
CELL_PARAMETERS angstrom
-0.2423 1.0613 4.0144
-2.1424 -7.7928 1.9308
9.1573 -0.6675 -1.4257
ATOMIC_POSITIONS angstrom
As 8.3299 -1.5880 3.0774
As 5.1815 -3.2981 1.1846
As 4.0156 -7.2796 2.1668
As -1.5573 -5.8109 1.4422
As 1.5911 -4.1009 3.3350
As 2.7570 -0.1194 2.3528
Sm -0.1211 0.5306 2.0072
Er 5.5448 -0.8600 2.7168
Er 1.2277 -6.5389 1.8028
Er -1.1924 -3.3657 2.9726
Pm 4.4761 -4.7587 3.6830
Pm 2.2964 -2.6403 0.8366
```

Values from the calculation:
VASP energy (Ry/atom): -0.453
Symmetry: C2/m, No. 12
Formation enthalpy at 0 K (eV per atom): -1.5180

---

Below is NaTbPtAu after structural relaxation, with properties calculated at the PBE level. Values from VASP.

Cell and atoms, written as Quantum ESPRESSO input:
```
&SYSTEM
  ibrav = 0, nat = 4, ntyp = 4
/
ATOMIC_SPECIES
Tb 158.93 Tb.upf
Na 22.99 Na.upf
Au 196.97 Au.upf
Pt 195.08 Pt.upf
CELL_PARAMETERS angstrom
4.9161 0.0000 0.0000
2.4581 4.2575 0.0000
2.4581 1.4192 4.0140
ATOMIC_POSITIONS angstrom
Tb 0.0000 0.0000 0.0000
Na 4.9161 2.8383 2.0070
Au 2.4581 1.4192 1.0035
Pt 7.3742 4.2575 3.0105
```

Values from the calculation:
VASP energy (Ry/atom): -0.330
Symmetry: F-43m, No. 216
Formation enthalpy at 0 K (eV per atom): -0.6676

---

What did the second record say?
Below is Pm2SmEr3As6 after structural relaxation, with properties calculated at the PBE level. Values from VASP.

Cell and atoms, written as Quantum ESPRESSO input:
```
&SYSTEM
  ibrav = 0, nat = 12, ntyp = 4
/
ATOMIC_SPECIES
As 74.92 As.upf
Sm 150.36 Sm.upf
Er 167.26 Er.upf
Pm 145.00 Pm.upf
CELL_PARAMETERS angstrom
-0.2423 1.0613 4.0144
-2.1424 -7.7928 1.9308
9.1573 -0.6675 -1.4257
ATOMIC_POSITIONS angstrom
As 8.3299 -1.5880 3.0774
As 5.1815 -3.2981 1.1846
As 4.0156 -7.2796 2.1668
As -1.5573 -5.8109 1.4422
As 1.5911 -4.1009 3.3350
As 2.7570 -0.1194 2.3528
Sm -0.1211 0.5306 2.0072
Er 5.5448 -0.8600 2.7168
Er 1.2277 -6.5389 1.8028
Er -1.1924 -3.3657 2.9726
Pm 4.4761 -4.7587 3.6830
Pm 2.2964 -2.6403 0.8366
```

Values from the calculation:
VASP energy (Ry/atom): -0.453
Symmetry: C2/m, No. 12
Formation enthalpy at 0 K (eV per atom): -1.5180